# La3HoGa2, relaxed, DFT PBE
# E_form (eV per atom): -0.410
# M_tot (Bohr magnetons per cell): 0.00
data_La3HoGa2
_chemical_formula_sum 'La6 Ho2 Ga4'
_cell_length_a 5.2303
_cell_length_b 9.8141
_cell_length_c 6.7322
_cell_angle_alpha 90.00
_cell_angle_beta 90.00
_cell_angle_gamma 90.00
_space_group_name_H-M_alt 'P m c 21'
_space_group_IT_number 26
loop_
_space_group_symop_operation_xyz
'x,y,z'
'-x,-y,z+1/2'
'-x,y,z'
'x,-y,z+1/2'
loop_
_atom_site_label
_atom_site_type_symbol
_atom_site_fract_x
_atom_site_fract_y
_atom_site_fract_z
La1 La 0.0000 0.0533 0.0000
La2 La 0.0000 0.3358 0.3251
La3 La 0.5000 0.1748 0.7047
Ho1 Ho 0.5000 0.4419 0.0248
Ga1 Ga 0.0000 0.3524 0.8108
Ga2 Ga 0.5000 0.1526 0.2247

---

# Bi2AsHPb, relaxed, DFT PBE
# M_tot (Bohr magnetons per cell): 0.00
# Total DFT energy (no corrections) (eV/atom): -3.740
data_Bi2AsHPb
_chemical_formula_sum 'Bi2 As1 H1 Pb1'
_cell_length_a 6.0536
_cell_length_b 6.0536
_cell_length_c 3.4857
_cell_angle_alpha 90.00
_cell_angle_beta 90.00
_cell_angle_gamma 90.00
_space_group_name_H-M_alt 'P 4/m m m'
_space_group_IT_number 123
_space_group_name_Hall '-P 4 2'
loop_
_atom_site_label
_atom_site_type_symbol
_atom_site_fract_x
_atom_site_fract_y
_atom_site_fract_z
Bi1 Bi 0.0000 0.5000 0.0000
As1 As 0.0000 0.0000 0.0000
H1 H 0.0000 0.0000 0.5000
Pb1 Pb 0.5000 0.5000 0.5000

---

# Rb4LiI5, relaxed, DFT PBE
# M_tot (Bohr magnetons per cell): 0.00
# Formation energy from raw total energies (eV/atom): -1.40
data_Rb4LiI5
_chemical_formula_sum 'Rb12 Li3 I15'
_cell_length_a 5.0446
_cell_length_b 5.0446
_cell_length_c 63.5901
_cell_angle_alpha 90.00
_cell_angle_beta 90.00
_cell_angle_gamma 120.00
_space_group_name_H-M_alt 'R -3 m'
_space_group_IT_number 166
_space_group_name_Hall '-R 3 2"'
loop_
_atom_site_label
_atom_site_type_symbol
_atom_site_fract_x
_atom_site_fract_y
_atom_site_fract_z
Rb1 Rb 0.0000 0.0000 0.1063
Rb2 Rb 0.0000 0.0000 0.2978
Li1 Li 0.0000 0.0000 0.5000
I1 I 0.0000 0.0000 0.0000
I2 I 0.0000 0.0000 0.1905
I3 I 0.0000 0.0000 0.4047

---

# Be2Nb2In, relaxed, DFT PBE
# E_form (eV per atom): -0.163
# M_tot (Bohr magnetons per cell): 0.00
data_Be2Nb2In
_chemical_formula_sum 'Be4 Nb4 In2'
_cell_length_a 3.4608
_cell_length_b 12.2805
_cell_length_c 3.5173
_cell_angle_alpha 90.00
_cell_angle_beta 90.00
_cell_angle_gamma 90.00
_space_group_name_H-M_alt 'C m m m'
_space_group_IT_number 65
_space_group_name_Hall '-C 2 2'
loop_
_atom_site_label
_atom_site_type_symbol
_atom_site_fract_x
_atom_site_fract_y
_atom_site_fract_z
Be1 Be 0.0000 0.2033 0.0000
Nb1 Nb 0.0000 0.3493 0.5000
In1 In 0.0000 0.0000 0.0000

---

# GdPa2Al, relaxed, DFT PBE
# E_form (eV per atom): -0.001
# M_tot (Bohr magnetons per cell): 6.86
data_GdPa2Al
_chemical_formula_sum 'Gd1 Pa2 Al1'
_cell_length_a 4.4182
_cell_length_b 4.4182
_cell_length_c 4.9648
_cell_angle_alpha 90.00
_cell_angle_beta 90.00
_cell_angle_gamma 90.00
_space_group_name_H-M_alt 'P 4/m m m'
_space_group_IT_number 123
_space_group_name_Hall '-P 4 2'
loop_
_atom_site_label
_atom_site_type_symbol
_atom_site_fract_x
_atom_site_fract_y
_atom_site_fract_z
Gd1 Gd 0.0000 0.0000 0.0000
Pa1 Pa 0.0000 0.5000 0.5000
Al1 Al 0.5000 0.5000 0.0000

---

# RbSiTe4, relaxed, DFT PBE
# M_tot (Bohr magnetons per cell): 0.00
# Formation energy from raw total energies (eV/atom): -0.26
data_RbSiTe4
_chemical_formula_sum 'Rb4 Si4 Te16'
_cell_length_a 11.8806
_cell_length_b 15.3299
_cell_length_c 7.7742
_cell_angle_alpha 90.00
_cell_angle_beta 128.24
_cell_angle_gamma 90.00
_space_group_name_H-M_alt 'C 1 2/c 1'
_space_group_IT_number 15
loop_
_space_group_symop_operation_xyz
'x,y,z'
'-x,-y,-z'
'-x,y,-z+1/2'
'x,-y,z+1/2'
'x+1/2,y+1/2,z'
'-x+1/2,-y+1/2,-z'
'-x+1/2,y+1/2,-z+1/2'
'x+1/2,-y+1/2,z+1/2'
loop_
_atom_site_label
_atom_site_type_symbol
_atom_site_fract_x
_atom_site_fract_y
_atom_site_fract_z
Rb1 Rb 0.0000 0.1147 0.2500
Si1 Si 0.0000 0.2391 0.7500
Te1 Te 0.0525 0.3279 0.0639
Te2 Te 0.1762 0.1171 0.8558

---

# CaInSe2, relaxed, DFT PBE
# M_tot (Bohr magnetons per cell): 0.00
# Formation energy from raw total energies (eV/atom): -0.96
data_CaInSe2
_chemical_formula_sum 'Ca1 In1 Se2'
_cell_length_a 3.7255
_cell_length_b 4.6257
_cell_length_c 5.6876
_cell_angle_alpha 90.00
_cell_angle_beta 90.00
_cell_angle_gamma 90.00
_space_group_name_H-M_alt 'P m m m'
_space_group_IT_number 47
loop_
_space_group_symop_operation_xyz
'x,y,z'
'-x,-y,-z'
'-x,-y,z'
'x,y,-z'
'x,-y,-z'
'-x,y,z'
'-x,y,-z'
'x,-y,z'
loop_
_atom_site_label
_atom_site_type_symbol
_atom_site_fract_x
_atom_site_fract_y
_atom_site_fract_z
Ca1 Ca 0.0000 0.0000 0.0000
In1 In 0.0000 0.5000 0.5000
Se1 Se 0.5000 0.0000 0.5000
Se2 Se 0.5000 0.5000 0.0000

---

# NdDyTh2Bi4, relaxed, DFT PBE
# E_form (eV per atom): -0.735
# M_tot (Bohr magnetons per cell): 0.00
data_NdDyTh2Bi4
_chemical_formula_sum 'Nd1 Dy1 Th2 Bi4'
_cell_length_a 7.8928
_cell_length_b 4.5814
_cell_length_c 7.9307
_cell_angle_alpha 90.00
_cell_angle_beta 109.64
_cell_angle_gamma 90.00
_space_group_name_H-M_alt 'P 1 2/m 1'
_space_group_IT_number 10
loop_
_space_group_symop_operation_xyz
'x,y,z'
'-x,-y,-z'
'-x,y,-z'
'x,-y,z'
loop_
_atom_site_label
_atom_site_type_symbol
_atom_site_fract_x
_atom_site_fract_y
_atom_site_fract_z
Nd1 Nd 0.0000 0.0000 0.0000
Dy1 Dy 0.0000 0.5000 0.5000
Th1 Th 0.5000 0.0000 0.5000
Th2 Th 0.5000 0.5000 0.0000
Bi1 Bi 0.2440 0.0000 0.7442
Bi2 Bi 0.2469 0.5000 0.2528

---

# Tb4PmTl5, relaxed, DFT PBE
# E_form (eV per atom): -0.361
# M_tot (Bohr magnetons per cell): 0.00
data_Tb4PmTl5
_chemical_formula_sum 'Tb4 Pm1 Tl5'
_cell_length_a 3.7905
_cell_length_b 3.7905
_cell_length_c 19.4300
_cell_angle_alpha 90.00
_cell_angle_beta 90.00
_cell_angle_gamma 90.00
_space_group_name_H-M_alt 'P 4/m m m'
_space_group_IT_number 123
_space_group_name_Hall '-P 4 2'
loop_
_atom_site_label
_atom_site_type_symbol
_atom_site_fract_x
_atom_site_fract_y
_atom_site_fract_z
Tb1 Tb 0.0000 0.0000 0.0988
Tb2 Tb 0.0000 0.0000 0.2966
Pm1 Pm 0.0000 0.0000 0.5000
Tl1 Tl 0.5000 0.5000 0.0000
Tl2 Tl 0.5000 0.5000 0.1976
Tl3 Tl 0.5000 0.5000 0.3953

---

# SrReN2O, relaxed, DFT PBE
# M_tot (Bohr magnetons per cell): 0.00
# Formation energy from raw total energies (eV/atom): -0.99
data_SrReN2O
_chemical_formula_sum 'Sr1 Re1 N2 O1'
_cell_length_a 3.9498
_cell_length_b 3.9498
_cell_length_c 4.0127
_cell_angle_alpha 90.00
_cell_angle_beta 90.00
_cell_angle_gamma 90.00
_space_group_name_H-M_alt 'P 4/m m m'
_space_group_IT_number 123
_space_group_name_Hall '-P 4 2'
loop_
_atom_site_label
_atom_site_type_symbol
_atom_site_fract_x
_atom_site_fract_y
_atom_site_fract_z
Sr1 Sr 0.0000 0.0000 0.0000
Re1 Re 0.5000 0.5000 0.5000
N1 N 0.0000 0.5000 0.5000
O1 O 0.5000 0.5000 0.0000

---

# Rb2AgHg3F8, relaxed, DFT PBE
# M_tot (Bohr magnetons per cell): 0.00
# Formation energy from raw total energies (eV/atom): -1.64
data_Rb2AgHg3F8
_chemical_formula_sum 'Rb6 Ag3 Hg9 F24'
_cell_length_a 6.9790
_cell_length_b 6.9790
_cell_length_c 20.2648
_cell_angle_alpha 90.00
_cell_angle_beta 90.00
_cell_angle_gamma 120.00
_space_group_name_H-M_alt 'R 3 m'
_space_group_IT_number 160
_space_group_name_Hall 'R 3 -2"'
loop_
_atom_site_label
_atom_site_type_symbol
_atom_site_fract_x
_atom_site_fract_y
_atom_site_fract_z
Rb1 Rb 0.0000 0.0000 0.0000
Rb2 Rb 0.0000 0.0000 0.3551
Ag1 Ag 0.0000 0.0000 0.7359
Hg1 Hg 0.1812 0.3624 0.1959
F1 F 0.0000 0.0000 0.1380
F2 F 0.0000 0.0000 0.6224
F3 F 0.0141 0.5070 0.1192
F4 F 0.1795 0.3590 0.9208

---

# Y4Al12Pt, relaxed, DFT PBE
# E_form (eV per atom): -0.581
# M_tot (Bohr magnetons per cell): 0.00
data_Y4Al12Pt
_chemical_formula_sum 'Y8 Al24 Pt2'
_cell_length_a 8.6605
_cell_length_b 8.6605
_cell_length_c 8.6605
_cell_angle_alpha 90.00
_cell_angle_beta 90.00
_cell_angle_gamma 90.00
_space_group_name_H-M_alt 'I m -3 m'
_space_group_IT_number 229
_space_group_name_Hall '-I 4 2 3'
loop_
_atom_site_label
_atom_site_type_symbol
_atom_site_fract_x
_atom_site_fract_y
_atom_site_fract_z
Y1 Y 0.2500 0.2500 0.2500
Al1 Al 0.0000 0.0000 0.2931
Al2 Al 0.0000 0.2500 0.5000
Pt1 Pt 0.0000 0.0000 0.0000

---

# Np3Tc4Ge4, relaxed, DFT PBE
# E_form (eV per atom): -0.102
# M_tot (Bohr magnetons per cell): 9.53
data_Np3Tc4Ge4
_chemical_formula_sum 'Np6 Tc8 Ge8'
_cell_length_a 7.7629
_cell_length_b 4.2946
_cell_length_c 11.9040
_cell_angle_alpha 90.00
_cell_angle_beta 90.00
_cell_angle_gamma 90.00
_space_group_name_H-M_alt 'A m m 2'
_space_group_IT_number 38
loop_
_space_group_symop_operation_xyz
'x,y,z'
'-x,-y,z'
'-x,y,z'
'x,-y,z'
'x,y+1/2,z+1/2'
'-x,-y+1/2,z+1/2'
'-x,y+1/2,z+1/2'
'x,-y+1/2,z+1/2'
loop_
_atom_site_label
_atom_site_type_symbol
_atom_site_fract_x
_atom_site_fract_y
_atom_site_fract_z
Np1 Np 0.0000 0.0000 0.0000
Np2 Np 0.2294 0.0000 0.1480
Tc1 Tc 0.0000 0.0000 0.3446
Tc2 Tc 0.2853 0.0000 0.8430
Tc3 Tc 0.5000 0.0000 0.3013
Ge1 Ge 0.0000 0.0000 0.7288
Ge2 Ge 0.2782 0.0000 0.4660
Ge3 Ge 0.5000 0.0000 0.6731

---

# Sm3PbSe6, relaxed, DFT PBE
# M_tot (Bohr magnetons per cell): 0.00
# Formation energy from raw total energies (eV/atom): -1.45
data_Sm3PbSe6
_chemical_formula_sum 'Sm12 Pb4 Se24'
_cell_length_a 11.3612
_cell_length_b 14.3176
_cell_length_c 7.1770
_cell_angle_alpha 90.00
_cell_angle_beta 90.00
_cell_angle_gamma 90.00
_space_group_name_H-M_alt 'C m c 21'
_space_group_IT_number 36
loop_
_space_group_symop_operation_xyz
'x,y,z'
'-x,-y,z+1/2'
'-x,y,z'
'x,-y,z+1/2'
'x+1/2,y+1/2,z'
'-x+1/2,-y+1/2,z+1/2'
'-x+1/2,y+1/2,z'
'x+1/2,-y+1/2,z+1/2'
loop_
_atom_site_label
_atom_site_type_symbol
_atom_site_fract_x
_atom_site_fract_y
_atom_site_fract_z
Sm1 Sm 0.0000 0.0932 0.0000
Sm2 Sm 0.1864 0.4027 0.9056
Pb1 Pb 0.0000 0.3022 0.3789
Se1 Se 0.0000 0.2759 0.7808
Se2 Se 0.0000 0.4780 0.1840
Se3 Se 0.1626 0.0335 0.7053
Se4 Se 0.1809 0.2267 0.1583

---

# Ba2CoP, relaxed, DFT PBE
# E_form (eV per atom): 0.147
# M_tot (Bohr magnetons per cell): 3.44
data_Ba2CoP
_chemical_formula_sum 'Ba4 Co2 P2'
_cell_length_a 4.6254
_cell_length_b 4.6254
_cell_length_c 10.9392
_cell_angle_alpha 90.00
_cell_angle_beta 90.00
_cell_angle_gamma 90.00
_space_group_name_H-M_alt 'I -4 m 2'
_space_group_IT_number 119
_space_group_name_Hall 'I -4 -2'
loop_
_atom_site_label
_atom_site_type_symbol
_atom_site_fract_x
_atom_site_fract_y
_atom_site_fract_z
Ba1 Ba 0.0000 0.0000 0.0000
Ba2 Ba 0.0000 0.5000 0.2500
Co1 Co 0.0000 0.5000 0.7500
P1 P 0.0000 0.0000 0.5000

---

# Cu2BRu2, relaxed, DFT PBE
# E_form (eV per atom): 0.226
# M_tot (Bohr magnetons per cell): 0.00
data_Cu2BRu2
_chemical_formula_sum 'Cu4 B2 Ru4'
_cell_length_a 5.5121
_cell_length_b 5.5121
_cell_length_c 4.2301
_cell_angle_alpha 90.00
_cell_angle_beta 90.00
_cell_angle_gamma 90.00
_space_group_name_H-M_alt 'P 4/m b m'
_space_group_IT_number 127
_space_group_name_Hall '-P 4 2ab'
loop_
_atom_site_label
_atom_site_type_symbol
_atom_site_fract_x
_atom_site_fract_y
_atom_site_fract_z
Cu1 Cu 0.1609 0.3391 0.0000
B1 B 0.0000 0.0000 0.5000
Ru1 Ru 0.1553 0.6553 0.5000

---

# WAu, relaxed, DFT PBE
# E_form (eV per atom): 0.359
# M_tot (Bohr magnetons per cell): 0.00
data_WAu
_chemical_formula_sum 'W8 Au8'
_cell_length_a 9.8241
_cell_length_b 9.8241
_cell_length_c 3.0378
_cell_angle_alpha 90.00
_cell_angle_beta 90.00
_cell_angle_gamma 90.00
_space_group_name_H-M_alt 'P 4/m'
_space_group_IT_number 83
loop_
_space_group_symop_operation_xyz
'x,y,z'
'-x,-y,-z'
'-y,x,z'
'y,-x,-z'
'-x,-y,z'
'x,y,-z'
'y,-x,z'
'-y,x,-z'
loop_
_atom_site_label
_atom_site_type_symbol
_atom_site_fract_x
_atom_site_fract_y
_atom_site_fract_z
W1 W 0.0400 0.6493 0.0000
W2 W 0.1486 0.4458 0.5000
Au1 Au 0.1320 0.1543 0.5000
Au2 Au 0.3375 0.6283 0.0000

---

# Nd3GePb, relaxed, DFT PBE
# E_form (eV per atom): -0.515
# M_tot (Bohr magnetons per cell): 0.00
data_Nd3GePb
_chemical_formula_sum 'Nd24 Ge8 Pb8'
_cell_length_a 12.8441
_cell_length_b 11.5436
_cell_length_c 8.5550
_cell_angle_alpha 90.00
_cell_angle_beta 90.04
_cell_angle_gamma 90.00
_space_group_name_H-M_alt 'C 1 2/c 1'
_space_group_IT_number 15
loop_
_space_group_symop_operation_xyz
'x,y,z'
'-x,-y,-z'
'-x,y,-z+1/2'
'x,-y,z+1/2'
'x+1/2,y+1/2,z'
'-x+1/2,-y+1/2,-z'
'-x+1/2,y+1/2,-z+1/2'
'x+1/2,-y+1/2,z+1/2'
loop_
_atom_site_label
_atom_site_type_symbol
_atom_site_fract_x
_atom_site_fract_y
_atom_site_fract_z
Nd1 Nd 0.1009 0.0915 0.4135
Nd2 Nd 0.1034 0.4090 0.5863
Nd3 Nd 0.2500 0.1798 0.8133
Ge1 Ge 0.2482 0.0538 0.1297
Pb1 Pb 0.0000 0.1615 0.7500
Pb2 Pb 0.0000 0.3410 0.2500

---

# TlTe4As, relaxed, DFT PBE
# M_tot (Bohr magnetons per cell): 0.00
# Formation energy from raw total energies (eV/atom): 0.45
data_TlTe4As
_chemical_formula_sum 'Tl4 Te16 As4'
_cell_length_a 9.0196
_cell_length_b 9.0196
_cell_length_c 9.0196
_cell_angle_alpha 90.00
_cell_angle_beta 90.00
_cell_angle_gamma 90.00
_space_group_name_H-M_alt 'F -4 3 m'
_space_group_IT_number 216
_space_group_name_Hall 'F -4 2 3'
loop_
_atom_site_label
_atom_site_type_symbol
_atom_site_fract_x
_atom_site_fract_y
_atom_site_fract_z
Tl1 Tl 0.0000 0.0000 0.0000
Te1 Te 0.1236 0.1236 0.3764
As1 As 0.2500 0.2500 0.7500

---

# CePmP2O8, relaxed, DFT PBE
# M_tot (Bohr magnetons per cell): 1.00
# Formation energy from raw total energies (eV/atom): -2.85
data_CePmP2O8
_chemical_formula_sum 'Ce1 Pm1 P2 O8'
_cell_length_a 5.3251
_cell_length_b 5.3251
_cell_length_c 7.3293
_cell_angle_alpha 90.00
_cell_angle_beta 90.00
_cell_angle_gamma 120.00
_space_group_name_H-M_alt 'P -3'
_space_group_IT_number 147
loop_
_space_group_symop_operation_xyz
'x,y,z'
'-x,-y,-z'
'-y,x-y,z'
'y,-x+y,-z'
'-x+y,-x,z'
'x-y,x,-z'
loop_
_atom_site_label
_atom_site_type_symbol
_atom_site_fract_x
_atom_site_fract_y
_atom_site_fract_z
Ce1 Ce 0.0000 0.0000 0.0000
Pm1 Pm 0.0000 0.0000 0.5000
P1 P 0.3333 0.6667 0.8017
O1 O 0.1727 0.8227 0.7279
O2 O 0.3333 0.6667 0.0101